Entry 1:
Dy6Bi3Os, relaxed, DFT PBE; size of the total moment = 0.00 μB/f.u.; formation enthalpy at 0 K = -0.50 eV/atom; space group = No. 14; total DFT energy (no corrections) = -110.96 eV for the cell shown
1.0
-1.8680 -6.1699 0.0808
5.0697 -1.6217 -6.6274
8.3350 -2.1842 6.9104
Bi Dy Os
6 12 2
Cartesian
9.5253 -6.6443 -0.7022
4.1675 -1.0921 3.4552
6.5820 -7.9362 2.8136
4.9546 -2.0395 -2.4498
1.6008 -3.8958 -3.2733
2.0114 -3.3314 1.0660
4.1490 -3.7548 -5.1208
4.5318 -5.3556 2.5814
6.4184 -7.6234 -0.3648
5.1704 -7.3921 -4.7349
7.3876 -6.2209 5.4846
5.1183 -2.3523 0.7287
8.1123 -4.7084 1.5031
6.3663 -2.5836 5.0987
3.4244 -5.2673 -1.1393
9.7456 -8.6395 1.9222
1.7910 -1.3362 -1.5584
7.0049 -4.6201 -2.2175
0.0000 0.0000 0.0000
5.7683 -4.9878 0.1819

=====

Entry 2:
Dy3BiOs, relaxed, DFT PBE; size of the total moment = 0.00 μB/f.u.; formation enthalpy at 0 K = -0.41 eV/atom; space group = No. 12; total DFT energy (no corrections) = -61.89 eV for the cell shown
1.0
4.9283 0.0000 0.0000
-2.4642 7.4732 -0.7787
0.0000 -3.6719 7.9978
Os Dy Bi
2 6 2
Cartesian
0.0000 2.4791 -0.2331
2.4642 1.3222 7.4522
0.0000 0.2624 1.5943
0.0000 5.2687 0.8866
2.4642 -1.4675 6.3325
2.4642 3.5388 5.6248
0.0000 0.8980 5.7288
2.4642 2.9033 1.4903
0.0000 3.4790 3.5503
2.4642 0.3223 3.6688

=====

Entry 3:
Dy3BiP2, relaxed, DFT PBE; size of the total moment = 0.00 μB/f.u.; formation enthalpy at 0 K = -0.97 eV/atom; space group = No. 63; total DFT energy (no corrections) = -68.60 eV for the cell shown
1.0
4.9688 0.0000 0.0000
-2.4844 6.2339 0.0000
0.0000 0.0000 9.8006
P Dy Bi
4 6 2
Cartesian
0.0000 5.8729 2.4502
2.4844 0.3610 7.3505
0.0000 0.0000 0.0000
0.0000 0.0000 4.9003
2.4844 1.5408 0.4665
2.4844 1.5408 4.4338
0.0000 1.1626 7.3505
2.4844 5.0712 2.4502
0.0000 4.6931 5.3669
0.0000 4.6930 9.3341
2.4844 3.4950 7.3505
0.0000 2.7388 2.4502

=====

Entry 4:
Dy2BiP, relaxed, DFT PBE; size of the total moment = 0.00 μB/f.u.; formation enthalpy at 0 K = -1.20 eV/atom; space group = No. 166; total DFT energy (no corrections) = -23.28 eV for the cell shown
1.0
-2.1225 -0.6081 -3.5336
-1.9259 -0.3625 3.6770
0.3907 7.4492 0.9423
Bi Dy P
1 2 1
Cartesian
-0.7676 3.5434 2.3096
-2.3524 1.0554 1.2325
-1.3053 5.4233 -0.1468
-1.7318 6.8411 -2.5913

=====

Please write out number 1 again, unchanged.
Dy6Bi3Os, relaxed, DFT PBE; size of the total moment = 0.00 μB/f.u.; formation enthalpy at 0 K = -0.50 eV/atom; space group = No. 14; total DFT energy (no corrections) = -110.96 eV for the cell shown
1.0
-1.8680 -6.1699 0.0808
5.0697 -1.6217 -6.6274
8.3350 -2.1842 6.9104
Bi Dy Os
6 12 2
Cartesian
9.5253 -6.6443 -0.7022
4.1675 -1.0921 3.4552
6.5820 -7.9362 2.8136
4.9546 -2.0395 -2.4498
1.6008 -3.8958 -3.2733
2.0114 -3.3314 1.0660
4.1490 -3.7548 -5.1208
4.5318 -5.3556 2.5814
6.4184 -7.6234 -0.3648
5.1704 -7.3921 -4.7349
7.3876 -6.2209 5.4846
5.1183 -2.3523 0.7287
8.1123 -4.7084 1.5031
6.3663 -2.5836 5.0987
3.4244 -5.2673 -1.1393
9.7456 -8.6395 1.9222
1.7910 -1.3362 -1.5584
7.0049 -4.6201 -2.2175
0.0000 0.0000 0.0000
5.7683 -4.9878 0.1819